BiAs3F | PBE-GGA | relaxed

Geometry as CIF:
```
data_BiAs3F
_chemical_formula_sum 'Bi1 As3 F1'
_cell_length_a 4.699
_cell_length_b 4.699
_cell_length_c 4.699
_cell_angle_alpha 90.00
_cell_angle_beta 90.00
_cell_angle_gamma 90.00
_space_group_name_H-M_alt 'P m -3 m'
_space_group_IT_number 221
_space_group_name_Hall '-P 4 2 3'
loop_
_atom_site_label
_atom_site_type_symbol
_atom_site_fract_x
_atom_site_fract_y
_atom_site_fract_z
Bi1 Bi 0.000 0.000 0.000
As1 As 0.000 0.500 0.500
F1 F 0.500 0.500 0.500
```

Calculated values
The calculation puts the offset from the most stable computed form at 0.000 eV per atom. The uncorrected formation energy comes out at 0.9 eV/f.u.